The following is a DFT calculation (PBE with a Hubbard U) of a relaxed PmCrO3 crystal.

Cell lengths 3.8852, 3.8852, 3.8852 Å; angles 90.00, 90.00, 90.00 degrees
With the nearest neighbours (Å) after each atom.
Element x y z (fractional)
Cr 0.0000 0.0000 0.0000  6 O 1.94
O 0.0000 0.5000 0.0000  2 Cr 1.94
O 0.0000 0.0000 0.5000  2 Cr 1.94
O 0.5000 0.0000 0.0000  2 Cr 1.94
Pm 0.5000 0.5000 0.5000  12 O 2.75

## Properties
- Final energy: -8.004 eV per atom
- Total magnetization: 3.00 μB/cell